<1>
Computed, not measured: a relaxed structure of Ho2TeIr at the PBE level of DFT.

Cell: 3.5923 3.5923 7.3443 Å, 90.00 90.00 90.00°
Atoms (fractional coordinates):
Ir1 0.5000 0.5000 0.0000
Te1 0.5000 0.5000 0.5000
Ho1 0.0000 0.0000 0.7791
Ho2 0.0000 0.0000 0.2209

Summary:
For the density of states at the Fermi level, the calculation gives 2.0 states/eV/f.u.

=====

<2>
Computed, not measured: a relaxed structure of Ho2TeIr at the PBE level of DFT.

Cell: 4.1190 4.1192 7.5693 Å, 90.00 105.77 120.00°
Atoms (fractional coordinates):
Ho1 0.5287 0.2643 0.7929
Ho2 0.4713 0.7357 0.2071
Te1 0.0000 0.5000 0.5000
Ir1 0.0000 0.0000 0.0000

Summary:
For the density of states at the Fermi level, the calculation gives 2.9 states/eV/f.u.

=====

Q: Which of them is the most stable? A: <2>.

=====

<1>
Computed, not measured: a relaxed structure of Ho5Te4Ir at the PBE level of DFT.

Cell: 6.0932 7.5074 7.5074 Å, 80.52 66.06 66.06°
Atoms (fractional coordinates):
Ho1 0.9083 0.3519 0.8337
Ho2 0.2601 0.8337 0.6481
Ho3 0.7420 0.1663 0.3519
Ho4 0.0939 0.6481 0.1663
Ho5 0.5008 0.0000 0.0000
Te1 0.4122 0.3994 0.7784
Te2 0.8115 0.7784 0.6006
Te3 0.1906 0.2216 0.3994
Te4 0.5900 0.6006 0.2216
Ir1 0.0009 0.0000 0.0000

Summary:
For the density of states at the Fermi level, the calculation gives 9.3 states/eV/f.u.

=====

<2>
Computed, not measured: a relaxed structure of Ho5Te4Ir at the PBE level of DFT.

Cell: 4.2203 4.2203 15.9277 Å, 97.61 97.61 90.00°
Atoms (fractional coordinates):
Ho1 0.0834 0.0834 0.1668
Ho2 0.5000 0.5000 0.0000
Ho3 0.9166 0.9166 0.8332
Ho4 0.2888 0.2888 0.5776
Ho5 0.7112 0.7112 0.4224
Te1 0.3937 0.3937 0.7875
Te2 0.8097 0.8097 0.6194
Te3 0.1903 0.1903 0.3806
Te4 0.6063 0.6063 0.2125
Ir1 0.0000 0.0000 0.0000

Summary:
For the density of states at the Fermi level, the calculation gives 5.2 states/eV/f.u.

=====

Q: Which of them is the most stable? A: <1>.